1.
Below is an optimized crystal structure of Ac2SmSe2O2, with properties calculated at the PBE level.

a b c (Å): 4.5118 4.5118 16.2389
angles (deg): 90.00 90.00 90.00
With the nearest neighbours (Å) after each atom.
Space group I4/mmm (No. 139)
Symmetry-distinct sites (fractional):
Ac 0.0000 0.0000 0.1289  4 O 3.08, 5 Se 3.13-3.29
Sm 0.0000 0.0000 0.5000  4 O 2.26
Se 0.0000 0.0000 0.3215  1 Sm 2.90, 1 Ac 3.13
O 0.0000 0.5000 0.0000  2 Sm 2.26

* energy relative to the elements, uncorrected: -2.42 eV per atom
* size of the total moment: 0.0 μB per formula unit

---

2.
Below is an optimized crystal structure of LaGaSe3, with properties calculated at the PBE level.

a b c (Å): 5.0014 5.0014 5.0014
angles (deg): 90.00 90.00 90.00
With the nearest neighbours (Å) after each atom.
Space group Pm-3m (No. 221)
Symmetry-distinct sites (fractional):
La 0.0000 0.0000 0.0000  12 Se 3.54
Ga 0.5000 0.5000 0.5000  6 Se 2.50
Se 0.0000 0.5000 0.5000  2 Ga 2.50

* energy relative to the elements, uncorrected: -0.90 eV per atom
* size of the total moment: 0.0 μB per formula unit

---

Summary of Fermi-level density of states in states/eV/f.u.
2.45, 1.97
(order as listed above)